A plane-wave DFT calculation with PBE was carried out for a geometry-optimized PmGe3Rh3 structure.

Geometry as CIF:
```
data_PmGe3Rh3
_chemical_formula_sum 'Pm4 Ge12 Rh12'
_symmetry_space_group_name_H-M 'P 1'
_symmetry_Int_Tables_number 1
_cell_length_a 7.955
_cell_length_b 7.955
_cell_length_c 7.956
_cell_angle_alpha 96.45
_cell_angle_beta 96.43
_cell_angle_gamma 96.47
loop_
_symmetry_equiv_pos_as_xyz
'x,y,z'
loop_
_atom_site_label
_atom_site_type_symbol
_atom_site_fract_x
_atom_site_fract_y
_atom_site_fract_z
Pm1 Pm 0.000 0.000 0.000
Pm2 Pm 0.125 0.455 0.421
Pm3 Pm 0.436 0.312 0.857
Pm4 Pm 0.579 0.875 0.545
Ge1 Ge 0.024 0.780 0.645
Ge2 Ge 0.028 0.630 0.071
Ge3 Ge 0.053 0.308 0.749
Ge4 Ge 0.224 0.900 0.325
Ge5 Ge 0.329 0.929 0.853
Ge6 Ge 0.433 0.204 0.474
Ge7 Ge 0.450 0.421 0.240
Ge8 Ge 0.545 0.695 0.870
Ge9 Ge 0.651 0.903 0.175
Ge10 Ge 0.755 0.526 0.448
Ge11 Ge 0.819 0.325 0.965
Ge12 Ge 0.905 0.099 0.445
Rh1 Rh 0.156 0.363 0.068
Rh2 Rh 0.182 0.057 0.602
Rh3 Rh 0.210 0.613 0.810
Rh4 Rh 0.367 0.700 0.162
Rh5 Rh 0.390 0.086 0.158
Rh6 Rh 0.488 0.523 0.577
Rh7 Rh 0.647 0.032 0.908
Rh8 Rh 0.697 0.573 0.118
Rh9 Rh 0.737 0.265 0.631
Rh10 Rh 0.742 0.243 0.245
Rh11 Rh 0.825 0.617 0.788
Rh12 Rh 0.924 0.800 0.345
```

Output
energy relative to the lowest polymorph listed for this composition: 0.000 eV per atom
formation energy from the elements: -0.62 eV/atom

***

A plane-wave DFT calculation with PBE was carried out for a geometry-optimized PmGeRh2 structure.

Geometry as CIF:
```
data_PmGeRh2
_chemical_formula_sum 'Pm2 Ge2 Rh4'
_symmetry_space_group_name_H-M 'P m m n'
_symmetry_Int_Tables_number 59
_cell_length_a 4.244
_cell_length_b 5.941
_cell_length_c 6.056
_cell_angle_alpha 90.00
_cell_angle_beta 90.00
_cell_angle_gamma 90.00
loop_
_symmetry_equiv_pos_as_xyz
'x,y,z'
'-x,-y,-z'
'-x+1/2,-y+1/2,z'
'x+1/2,y+1/2,-z'
'x+1/2,-y,-z'
'-x+1/2,y,z'
'-x,y+1/2,-z'
'x,-y+1/2,z'
loop_
_atom_site_label
_atom_site_type_symbol
_atom_site_fract_x
_atom_site_fract_y
_atom_site_fract_z
Pm1 Pm 0.250 0.250 0.127
Ge1 Ge 0.250 0.750 0.329
Rh1 Rh 0.250 0.019 0.653
```

Output
formation energy from the elements: -0.77 eV/atom

***

A plane-wave DFT calculation with PBE was carried out for a geometry-optimized PmGe4Rh structure.

Geometry as CIF:
```
data_PmGe4Rh
_chemical_formula_sum 'Pm2 Ge8 Rh2'
_symmetry_space_group_name_H-M 'P -1'
_symmetry_Int_Tables_number 2
_cell_length_a 6.286
_cell_length_b 6.438
_cell_length_c 6.924
_cell_angle_alpha 84.56
_cell_angle_beta 89.96
_cell_angle_gamma 60.83
loop_
_symmetry_equiv_pos_as_xyz
'x,y,z'
'-x,-y,-z'
loop_
_atom_site_label
_atom_site_type_symbol
_atom_site_fract_x
_atom_site_fract_y
_atom_site_fract_z
Pm1 Pm 0.106 0.498 0.251
Ge1 Ge 0.126 0.007 0.143
Ge2 Ge 0.322 0.601 0.591
Ge3 Ge 0.366 0.010 0.642
Ge4 Ge 0.420 0.401 0.910
Rh1 Rh 0.000 0.000 0.500
Rh2 Rh 0.500 0.000 0.000
```

Output
formation energy from the elements: -0.45 eV/atom

***

A plane-wave DFT calculation with PBE was carried out for a geometry-optimized PmGe3Rh structure.

Geometry as CIF:
```
data_PmGe3Rh
_chemical_formula_sum 'Pm2 Ge6 Rh2'
_symmetry_space_group_name_H-M 'P 1 21/m 1'
_symmetry_Int_Tables_number 11
_cell_length_a 5.606
_cell_length_b 5.963
_cell_length_c 5.821
_cell_angle_alpha 90.00
_cell_angle_beta 91.22
_cell_angle_gamma 90.00
loop_
_symmetry_equiv_pos_as_xyz
'x,y,z'
'-x,-y,-z'
'-x,y+1/2,-z'
'x,-y+1/2,z'
loop_
_atom_site_label
_atom_site_type_symbol
_atom_site_fract_x
_atom_site_fract_y
_atom_site_fract_z
Pm1 Pm 0.125 0.250 0.273
Ge1 Ge 0.062 0.750 0.200
Ge2 Ge 0.368 0.025 0.806
Rh1 Rh 0.380 0.750 0.493
```

Output
energy relative to the lowest polymorph listed for this composition: 0.113 eV per atom
formation energy from the elements: -0.58 eV/atom

***

A plane-wave DFT calculation with PBE was carried out for a geometry-optimized Pm3Ge2Rh3 structure.

Geometry as CIF:
```
data_Pm3Ge2Rh3
_chemical_formula_sum 'Pm12 Ge8 Rh12'
_symmetry_space_group_name_H-M 'C m c m'
_symmetry_Int_Tables_number 63
_symmetry_space_group_name_Hall '-C 2c 2'
_cell_length_a 4.241
_cell_length_b 10.459
_cell_length_c 15.219
_cell_angle_alpha 90.00
_cell_angle_beta 90.00
_cell_angle_gamma 90.00
loop_
_atom_site_label
_atom_site_type_symbol
_atom_site_fract_x
_atom_site_fract_y
_atom_site_fract_z
Pm1 Pm 0.000 0.076 0.107
Pm2 Pm 0.000 0.362 0.250
Ge1 Ge 0.000 0.212 0.605
Rh1 Rh 0.000 0.342 0.750
Rh2 Rh 0.000 0.353 0.031
```

Output
energy relative to the lowest polymorph listed for this composition: 0.065 eV per atom
formation energy from the elements: -0.82 eV/atom

***

A plane-wave DFT calculation with PBE was carried out for a geometry-optimized PmGe3Rh3 structure.

Geometry as CIF:
```
data_PmGe3Rh3
_chemical_formula_sum 'Pm2 Ge6 Rh6'
_symmetry_space_group_name_H-M 'P m -3 n'
_symmetry_Int_Tables_number 223
_symmetry_space_group_name_Hall '-P 4n 2 3'
_cell_length_a 6.695
_cell_length_b 6.695
_cell_length_c 6.695
_cell_angle_alpha 90.00
_cell_angle_beta 90.00
_cell_angle_gamma 90.00
loop_
_atom_site_label
_atom_site_type_symbol
_atom_site_fract_x
_atom_site_fract_y
_atom_site_fract_z
Pm1 Pm 0.000 0.000 0.000
Ge1 Ge 0.000 0.250 0.500
Rh1 Rh 0.000 0.500 0.250
```

Output
energy relative to the lowest polymorph listed for this composition: 0.293 eV per atom
formation energy from the elements: -0.32 eV/atom

***

A plane-wave DFT calculation with PBE was carried out for a geometry-optimized Pm6Ge5Rh structure.

Geometry as CIF:
```
data_Pm6Ge5Rh
_chemical_formula_sum 'Pm12 Ge10 Rh2'
_symmetry_space_group_name_H-M 'C 1 2/m 1'
_symmetry_Int_Tables_number 12
_cell_length_a 7.392
_cell_length_b 12.613
_cell_length_c 7.370
_cell_angle_alpha 90.00
_cell_angle_beta 109.04
_cell_angle_gamma 90.00
loop_
_symmetry_equiv_pos_as_xyz
'x,y,z'
'-x,-y,-z'
'-x,y,-z'
'x,-y,z'
'x+1/2,y+1/2,z'
'-x+1/2,-y+1/2,-z'
'-x+1/2,y+1/2,-z'
'x+1/2,-y+1/2,z'
loop_
_atom_site_label
_atom_site_type_symbol
_atom_site_fract_x
_atom_site_fract_y
_atom_site_fract_z
Pm1 Pm 0.237 0.000 0.259
Pm2 Pm 0.239 0.159 0.743
Ge1 Ge 0.000 0.171 0.000
Ge2 Ge 0.000 0.334 0.500
Ge3 Ge 0.000 0.500 0.000
Rh1 Rh 0.000 0.000 0.500
```

Output
formation energy from the elements: -0.60 eV/atom

***

A plane-wave DFT calculation with PBE was carried out for a geometry-optimized PmGe12Rh4 structure.

Geometry as CIF:
```
data_PmGe12Rh4
_chemical_formula_sum 'Pm2 Ge24 Rh8'
_symmetry_space_group_name_H-M 'I m -3'
_symmetry_Int_Tables_number 204
_symmetry_space_group_name_Hall '-I 2 2 3'
_cell_length_a 8.648
_cell_length_b 8.648
_cell_length_c 8.648
_cell_angle_alpha 90.00
_cell_angle_beta 90.00
_cell_angle_gamma 90.00
loop_
_atom_site_label
_atom_site_type_symbol
_atom_site_fract_x
_atom_site_fract_y
_atom_site_fract_z
Pm1 Pm 0.000 0.000 0.000
Ge1 Ge 0.000 0.153 0.349
Rh1 Rh 0.250 0.250 0.250
```

Output
formation energy from the elements: -0.28 eV/atom

***

A plane-wave DFT calculation with PBE was carried out for a geometry-optimized Pm2Ge7Rh12 structure.

Geometry as CIF:
```
data_Pm2Ge7Rh12
_chemical_formula_sum 'Pm2 Ge7 Rh12'
_symmetry_space_group_name_H-M 'P -3'
_symmetry_Int_Tables_number 147
_cell_length_a 9.9943
_cell_length_b 9.9943
_cell_length_c 3.9427
_cell_angle_alpha 90.00
_cell_angle_beta 90.00
_cell_angle_gamma 120.00
loop_
_symmetry_equiv_pos_as_xyz
'x,y,z'
'-x,-y,-z'
'-y,x-y,z'
'y,-x+y,-z'
'-x+y,-x,z'
'x-y,x,-z'
loop_
_atom_site_label
_atom_site_type_symbol
_atom_site_fract_x
_atom_site_fract_y
_atom_site_fract_z
Pm1 Pm 0.3333 0.6667 0.2505
Ge1 Ge 0.0000 0.0000 0.0000
Ge2 Ge 0.1127 0.4016 0.7499
Rh1 Rh 0.0607 0.6186 0.7488
Rh2 Rh 0.1192 0.8569 0.2484
```

Output
formation energy from the elements: -0.71 eV/atom

***

A plane-wave DFT calculation with PBE was carried out for a geometry-optimized Pm3Ge4Rh2 structure.

Geometry as CIF:
```
data_Pm3Ge4Rh2
_chemical_formula_sum 'Pm6 Ge8 Rh4'
_symmetry_space_group_name_H-M 'C 1 2/m 1'
_symmetry_Int_Tables_number 12
_cell_length_a 11.121
_cell_length_b 4.315
_cell_length_c 8.371
_cell_angle_alpha 90.00
_cell_angle_beta 109.03
_cell_angle_gamma 90.00
loop_
_symmetry_equiv_pos_as_xyz
'x,y,z'
'-x,-y,-z'
'-x,y,-z'
'x,-y,z'
'x+1/2,y+1/2,z'
'-x+1/2,-y+1/2,-z'
'-x+1/2,y+1/2,-z'
'x+1/2,-y+1/2,z'
loop_
_atom_site_label
_atom_site_type_symbol
_atom_site_fract_x
_atom_site_fract_y
_atom_site_fract_z
Pm1 Pm 0.000 0.000 0.000
Pm2 Pm 0.122 0.500 0.695
Ge1 Ge 0.094 0.000 0.397
Ge2 Ge 0.212 0.500 0.076
Rh1 Rh 0.192 0.500 0.368
```

Output
energy relative to the lowest polymorph listed for this composition: 0.000 eV per atom
formation energy from the elements: -0.88 eV/atom

***

A plane-wave DFT calculation with PBE was carried out for a geometry-optimized PmGeRh3 structure.

Geometry as CIF:
```
data_PmGeRh3
_chemical_formula_sum 'Pm1 Ge1 Rh3'
_symmetry_space_group_name_H-M 'P m -3 m'
_symmetry_Int_Tables_number 221
_symmetry_space_group_name_Hall '-P 4 2 3'
_cell_length_a 4.596
_cell_length_b 4.596
_cell_length_c 4.596
_cell_angle_alpha 90.00
_cell_angle_beta 90.00
_cell_angle_gamma 90.00
loop_
_atom_site_label
_atom_site_type_symbol
_atom_site_fract_x
_atom_site_fract_y
_atom_site_fract_z
Pm1 Pm 0.000 0.000 0.000
Ge1 Ge 0.500 0.500 0.500
Rh1 Rh 0.000 0.500 0.500
```

Output
formation energy from the elements: -0.38 eV/atom

***

A plane-wave DFT calculation with PBE was carried out for a geometry-optimized Pm3Ge3Rh2 structure.

Geometry as CIF:
```
data_Pm3Ge3Rh2
_chemical_formula_sum 'Pm12 Ge12 Rh8'
_symmetry_space_group_name_H-M 'C m c m'
_symmetry_Int_Tables_number 63
_symmetry_space_group_name_Hall '-C 2c 2'
_cell_length_a 4.370
_cell_length_b 10.780
_cell_length_c 14.603
_cell_angle_alpha 90.00
_cell_angle_beta 90.00
_cell_angle_gamma 90.00
loop_
_atom_site_label
_atom_site_type_symbol
_atom_site_fract_x
_atom_site_fract_y
_atom_site_fract_z
Pm1 Pm 0.000 0.085 0.110
Pm2 Pm 0.000 0.360 0.250
Ge1 Ge 0.000 0.339 0.750
Ge2 Ge 0.000 0.377 0.036
Rh1 Rh 0.000 0.202 0.600
```

Output
energy relative to the lowest polymorph listed for this composition: 0.000 eV per atom
formation energy from the elements: -0.90 eV/atom

***

Calculated spin magnetization, 0.0, 0.0, 0.0, 0.0, 0.0, 0.0, 0.0, 0.0, 0.0, 0.0, 0.0, 0.0 μB/cell (same order as the records).